Entry 1:
This record from Alexandria via LeMat-Bulk describes PmHoTl2 after structural relaxation. The functional is PBE-GGA.

Summary:
- DFT total energy (eV per atom) = -3.869
- ΔE_f (eV per atom) = -0.35

The structure in CIF format:
```
data_PmHoTl2
_cell_length_a 5.421
_cell_length_b 5.421
_cell_length_c 5.420
_cell_angle_alpha 60.00
_cell_angle_beta 60.00
_cell_angle_gamma 60.00
_space_group_name_H-M_alt 'P 1'
_space_group_IT_number 1
loop_
_space_group_symop_operation_xyz
'x,y,z'
loop_
_atom_site_label
_atom_site_type_symbol
_atom_site_fract_x
_atom_site_fract_y
_atom_site_fract_z
_atom_site_occupancy
Tl1 Tl 0.000 0.000 0.000 1
Tl2 Tl 0.500 0.500 0.500 1
Ho1 Ho 0.750 0.750 0.750 1
Pm1 Pm 0.250 0.250 0.250 1
```


Entry 2:
This record from Alexandria via LeMat-Bulk describes PmTlZnTe3 after structural relaxation. The functional is PBE-GGA.

Summary:
- DFT total energy (eV per atom) = -3.800

The structure in CIF format:
```
data_PmTlZnTe3
_cell_length_a 4.429
_cell_length_b 9.712
_cell_length_c 10.282
_cell_angle_alpha 106.54
_cell_angle_beta 90.00
_cell_angle_gamma 90.00
_space_group_name_H-M_alt 'P 1'
_space_group_IT_number 1
loop_
_space_group_symop_operation_xyz
'x,y,z'
loop_
_atom_site_label
_atom_site_type_symbol
_atom_site_fract_x
_atom_site_fract_y
_atom_site_fract_z
_atom_site_occupancy
Pm1 Pm 0.250 0.676 0.143 1
Pm2 Pm 0.750 0.324 0.857 1
Tl1 Tl 0.750 0.792 0.778 1
Tl2 Tl 0.250 0.208 0.222 1
Zn1 Zn 0.250 0.084 0.605 1
Zn2 Zn 0.750 0.916 0.395 1
Te1 Te 0.250 0.794 0.474 1
Te2 Te 0.750 0.905 0.132 1
Te3 Te 0.750 0.457 0.173 1
Te4 Te 0.750 0.206 0.526 1
Te5 Te 0.250 0.543 0.827 1
Te6 Te 0.250 0.095 0.868 1
```


Entry 3:
This record from Alexandria via LeMat-Bulk describes NbCuH after structural relaxation. The functional is PBE-GGA.

Summary:
- DFT total energy (eV per atom) = -5.741

The structure in CIF format:
```
data_NbCuH
_cell_length_a 2.892
_cell_length_b 2.817
_cell_length_c 11.134
_cell_angle_alpha 126.16
_cell_angle_beta 113.10
_cell_angle_gamma 77.36
_space_group_name_H-M_alt 'P 1'
_space_group_IT_number 1
loop_
_space_group_symop_operation_xyz
'x,y,z'
loop_
_atom_site_label
_atom_site_type_symbol
_atom_site_fract_x
_atom_site_fract_y
_atom_site_fract_z
_atom_site_occupancy
H1 H 0.585 0.467 0.891 1
H2 H 0.415 0.533 0.109 1
Nb1 Nb 0.609 0.976 0.365 1
Nb2 Nb 0.391 0.024 0.635 1
Cu1 Cu 0.171 0.056 0.882 1
Cu2 Cu 0.829 0.944 0.118 1
```